[1]
First-principles (GGA-PBE) data for a relaxed Y2BeTe crystal, as listed in Alexandria via LeMat-Bulk.

```
4
Lattice="-3.164 -3.032 -3.126 3.382 -1.093 -4.043 0.408 -0.883 5.295" Properties=species:S:1:pos:R:3 pbc="T T T"
Y 0.216 -4.100 -7.127
Y 0.110 -2.086 -3.626
Te 1.949 -2.019 -1.166
Be -1.324 -2.988 -0.708
```

Computed properties:
The value obtained for the density of states at the Fermi level is 4.2 states/eV/f.u. For the uncorrected formation energy, the calculation gives -290 meV/atom. The value obtained for the polymorph energy (0 for the lowest one) is 267.8 meV/atom.

***

[2]
First-principles (GGA-PBE) data for a relaxed YBeTe2 crystal, as listed in Alexandria via LeMat-Bulk.

```
4
Lattice="4.183 0.000 0.000 0.000 4.183 0.000 0.000 0.000 6.166" Properties=species:S:1:pos:R:3 pbc="T T T"
Be 2.092 2.092 4.944
Y 0.000 0.000 2.525
Te 2.092 2.092 2.410
Te 0.000 0.000 5.535
```

Computed properties:
The value obtained for the density of states at the Fermi level is 1.6 states/eV/f.u. For the uncorrected formation energy, the calculation gives -479 meV/atom. The value obtained for the polymorph energy (0 for the lowest one) is 305.0 meV/atom.

***

[3]
First-principles (GGA-PBE) data for a relaxed YBe2Te crystal, as listed in Alexandria via LeMat-Bulk.

```
4
Lattice="-0.037 -2.036 -4.416 3.532 -3.086 -1.284 -0.971 -4.740 -0.484" Properties=species:S:1:pos:R:3 pbc="T T T"
Be 0.631 -2.466 -1.546
Be 0.000 0.000 0.000
Y 1.893 -7.397 -4.639
Te 1.262 -4.931 -3.092
```

Computed properties:
The value obtained for the density of states at the Fermi level is 4.5 states/eV/f.u. For the uncorrected formation energy, the calculation gives 430 meV/atom. The value obtained for the polymorph energy (0 for the lowest one) is 467.6 meV/atom.

***

[4]
First-principles (GGA-PBE) data for a relaxed YBe2Te crystal, as listed in Alexandria via LeMat-Bulk.

```
4
Lattice="3.943 0.000 0.000 0.000 3.792 -0.022 0.000 0.034 5.487" Properties=species:S:1:pos:R:3 pbc="T T T"
Be 1.971 0.954 1.020
Be 0.000 0.948 0.133
Te 0.000 0.966 2.757
Y 1.971 2.871 4.288
```

Computed properties:
The value obtained for the density of states at the Fermi level is 2.3 states/eV/f.u. For the uncorrected formation energy, the calculation gives -9 meV/atom. The value obtained for the polymorph energy (0 for the lowest one) is 29.2 meV/atom.

***

[5]
First-principles (GGA-PBE) data for a relaxed Y2BeTe crystal, as listed in Alexandria via LeMat-Bulk.

```
4
Lattice="5.130 0.000 0.000 2.565 4.443 0.000 2.565 1.481 4.189" Properties=species:S:1:pos:R:3 pbc="T T T"
Y 0.000 0.000 0.000
Y 2.565 1.481 1.047
Be 5.130 2.962 2.094
Te 7.695 4.443 3.142
```

Computed properties:
The value obtained for the density of states at the Fermi level is 2.4 states/eV/f.u. For the uncorrected formation energy, the calculation gives 252 meV/atom. The value obtained for the polymorph energy (0 for the lowest one) is 810.2 meV/atom.

***

[6]
First-principles (GGA-PBE) data for a relaxed YBeTe2 crystal, as listed in Alexandria via LeMat-Bulk.

```
4
Lattice="-3.370 -0.637 1.704 1.664 -2.530 2.344 1.279 4.870 4.348" Properties=species:S:1:pos:R:3 pbc="T T T"
Y -0.533 -0.366 3.111
Te 0.645 2.457 2.194
Te 1.273 4.848 4.329
Be 0.106 2.069 5.286
```

Computed properties:
The value obtained for the density of states at the Fermi level is 1.7 states/eV/f.u. For the uncorrected formation energy, the calculation gives -261 meV/atom. The value obtained for the polymorph energy (0 for the lowest one) is 523.2 meV/atom.